Entry 1:
PBE-GGA BaZrSe2O, optimized geometry; ρ = 5.4 g cm⁻³; VASP energy = -32.971 eV for the cell shown
1.0
5.460 0.000 0.000
0.000 5.460 0.000
0.000 0.000 4.124
Ba Zr Se O
1 1 2 1
direct
0.000 0.000 0.000
0.500 0.500 0.500
0.000 0.500 0.500
0.500 0.000 0.500
0.500 0.500 0.000



Entry 2:
PBE-GGA Ba3SiO, optimized geometry; ρ = 3.9 g cm⁻³; VASP energy = -43.603 eV for the cell shown
1.0
7.831 -2.382 0.000
7.831 2.382 0.000
-2.396 0.000 10.351
Ba Si O
6 2 2
direct
0.013 0.013 0.318
0.231 0.231 0.659
0.347 0.347 0.057
0.653 0.653 0.943
0.769 0.769 0.341
0.987 0.987 0.682
0.418 0.418 0.461
0.582 0.582 0.539
0.202 0.202 0.881
0.798 0.798 0.119



Entry 3:
PBE-GGA BaSiO2, optimized geometry; ρ = 3.7 g cm⁻³; VASP energy = -74.652 eV for the cell shown
1.0
4.212 0.000 0.000
-2.106 3.648 0.000
0.000 0.000 17.300
Ba Si O
3 3 6
direct
0.000 0.000 0.000
0.333 0.667 0.667
0.667 0.333 0.333
0.000 0.000 0.500
0.333 0.667 0.167
0.667 0.333 0.833
0.000 0.000 0.405
0.000 0.000 0.595
0.333 0.667 0.072
0.333 0.667 0.261
0.667 0.333 0.739
0.667 0.333 0.928



Among the records above, which one has the lowest ρ? BaSiO2



Copy entry 1 word for word.
PBE-GGA BaZrSe2O, optimized geometry; ρ = 5.4 g cm⁻³; VASP energy = -32.971 eV for the cell shown
1.0
5.460 0.000 0.000
0.000 5.460 0.000
0.000 0.000 4.124
Ba Zr Se O
1 1 2 1
direct
0.000 0.000 0.000
0.500 0.500 0.500
0.000 0.500 0.500
0.500 0.000 0.500
0.500 0.500 0.000



What is the formula in the second record? Ba3SiO



Copy entry 2 word for word.
PBE-GGA Ba3SiO, optimized geometry; ρ = 3.9 g cm⁻³; VASP energy = -43.603 eV for the cell shown
1.0
7.831 -2.382 0.000
7.831 2.382 0.000
-2.396 0.000 10.351
Ba Si O
6 2 2
direct
0.013 0.013 0.318
0.231 0.231 0.659
0.347 0.347 0.057
0.653 0.653 0.943
0.769 0.769 0.341
0.987 0.987 0.682
0.418 0.418 0.461
0.582 0.582 0.539
0.202 0.202 0.881
0.798 0.798 0.119